Computed, not measured: a relaxed LaZn2InRh crystal at the PBEsol level of DFT.

Summary:
Space group: No. 123
Magnetic moment, μB/f.u.: 0.6
Uncorrected energy, eV/atom: -2.237
Energy relative to the elements, eV per atom: 1.690
Density, g/cm³: 5.1

Structure (POSCAR):
```
LaZn2InRh
1.0
5.255 0.000 0.000
0.000 5.255 0.000
0.000 0.000 5.798
La Zn In Rh
1 2 1 1
Cartesian
0.000 0.000 0.000
0.000 2.628 0.000
2.628 0.000 0.000
0.000 0.000 2.899
2.628 2.628 2.899
```

Computed, not measured: a relaxed Cr2SbCl crystal at the PBEsol level of DFT.

Summary:
Space group: No. 12
Polymorph energy (0 for the lowest one), meV per atom: 178
Magnetic moment, μB/f.u.: 8.5
Uncorrected energy, eV/atom: -6.381
Energy relative to the elements, uncorrected, eV per atom: 0.381
Density, g/cm³: 5.5

Structure (POSCAR):
```
Cr2SbCl
1.0
3.553 -3.532 0.000
3.553 3.532 0.000
-0.792 0.000 3.133
Cr Sb Cl
2 1 1
Cartesian
1.776 1.766 0.000
1.776 -1.766 0.000
-0.396 0.000 1.567
3.157 0.000 1.567
```